The following is a DFT calculation (GGA-PBE) of a relaxed Sr2CeZn2O6 crystal.

Structure (POSCAR):
```
Sr2CeZn2O6
1.0
5.644 0.000 0.000
-2.822 4.888 0.000
0.000 0.000 5.897
Sr Ce Zn O
2 1 2 6
Direct
0.333 0.667 0.000
0.667 0.333 0.000
0.000 0.000 0.500
0.333 0.667 0.500
0.667 0.333 0.500
0.000 0.348 0.706
0.000 0.652 0.294
0.348 0.000 0.706
0.348 0.348 0.294
0.652 0.000 0.294
0.652 0.652 0.706
```

Computed properties:
Volume ... 162.7 Å³/cell
M_tot ... 0.00 μB per cell
Symmetry ... P-31m
E ... -0.4478 Ry/atom